Record 1
First-principles (PBE) data for SrHg11 after structural relaxation, as listed in the Open Quantum Materials Database.

Values from the calculation:
Energy = -0.4991 eV/atom

a = 9.652 Å, b = 9.652 Å, c = 9.652 Å
α = 90.00°, β = 90.00°, γ = 90.00°
Fractional coordinates of all 36 atoms:
Hg: 0.344 0.344 0.000
Hg: 0.656 0.344 0.000
Hg: 0.344 0.656 0.000
Hg: 0.656 0.656 0.000
Hg: 0.154 0.154 0.154
Hg: 0.846 0.154 0.154
Hg: 0.154 0.846 0.154
Hg: 0.846 0.846 0.154
Hg: 0.500 0.266 0.266
Hg: 0.266 0.500 0.266
Hg: 0.734 0.500 0.266
Hg: 0.500 0.734 0.266
Hg: 0.344 0.000 0.344
Hg: 0.656 0.000 0.344
Hg: 0.000 0.344 0.344
Hg: 0.000 0.656 0.344
Hg: 0.266 0.266 0.500
Hg: 0.734 0.266 0.500
Hg: 0.500 0.500 0.500
Hg: 0.266 0.734 0.500
Hg: 0.734 0.734 0.500
Hg: 0.344 0.000 0.656
Hg: 0.656 0.000 0.656
Hg: 0.000 0.344 0.656
Hg: 0.000 0.656 0.656
Hg: 0.500 0.266 0.734
Hg: 0.266 0.500 0.734
Hg: 0.734 0.500 0.734
Hg: 0.500 0.734 0.734
Hg: 0.154 0.154 0.846
Hg: 0.846 0.154 0.846
Hg: 0.154 0.846 0.846
Hg: 0.846 0.846 0.846
Sr: 0.500 0.000 0.000
Sr: 0.000 0.500 0.000
Sr: 0.000 0.000 0.500



Record 2
First-principles (PBE) data for SmAl2PtAu after structural relaxation, as listed in the Open Quantum Materials Database.

Values from the calculation:
Energy = -5.2487 eV/atom

a = 4.338 Å, b = 4.338 Å, c = 10.464 Å
α = 90.00°, β = 90.00°, γ = 90.00°
Fractional coordinates of all 10 atoms:
Al: 0.500 0.000 0.139
Al: 0.000 0.000 0.500
Al: 0.500 0.500 0.500
Al: 0.000 0.500 0.861
Au: 0.000 0.000 0.000
Au: 0.500 0.500 0.000
Pt: 0.500 0.000 0.372
Pt: 0.000 0.500 0.628
Sm: 0.000 0.500 0.259
Sm: 0.500 0.000 0.741



Record 3
First-principles (PBE) data for HfZnNiAu after structural relaxation, as listed in the Open Quantum Materials Database.

Values from the calculation:
Energy = -5.2697 eV/atom

a = 4.488 Å, b = 4.488 Å, c = 4.488 Å
α = 60.00°, β = 60.00°, γ = 60.00°
Fractional coordinates of all 4 atoms:
Au: 0.500 0.500 0.500
Hf: 0.250 0.250 0.250
Ni: 0.750 0.750 0.750
Zn: 0.000 0.000 0.000